A plane-wave DFT calculation with PBE was carried out for an optimized crystal structure of Re2W.

Relative energy among the computed polymorphs ... 21.5 kJ per mole of atoms
Space group ... P6_3/mmc (194)
ΔH_f (0 K) ... 87 kJ/mol of formula units
Magnetization ... 0.01 μB/cell

Unit cell a=5.137 b=5.137 c=16.640 alpha=90.00 beta=90.00 gamma=120.00
Fractional coordinates of all 24 atoms:
Re: 0.500 0.000 0.000
Re: 0.000 0.500 0.000
Re: 0.500 0.500 0.000
Re: 0.667 0.333 0.158
Re: 0.159 0.319 0.250
Re: 0.159 0.841 0.250
Re: 0.681 0.841 0.250
Re: 0.667 0.333 0.342
Re: 0.500 0.000 0.500
Re: 0.000 0.500 0.500
Re: 0.500 0.500 0.500
Re: 0.333 0.667 0.658
Re: 0.319 0.159 0.750
Re: 0.841 0.159 0.750
Re: 0.841 0.681 0.750
Re: 0.333 0.667 0.842
W: 0.000 0.000 0.093
W: 0.333 0.667 0.126
W: 0.333 0.667 0.374
W: 0.000 0.000 0.407
W: 0.000 0.000 0.593
W: 0.667 0.333 0.626
W: 0.667 0.333 0.874
W: 0.000 0.000 0.907